The following is a DFT calculation (GGA-PBE) of crystalline SrCa at its relaxed geometry.

Mass density = 2.19 g/cm³
Formation enthalpy at 0 K = 26.0 meV per atom
Crystal system = hexagonal
N(E_F) = 2.02 states/eV/f.u.

Unit cell a=4.0668 b=4.0668 c=13.4909 alpha=90.00 beta=90.00 gamma=120.00
Space group P6_3/mmc (No. 194)
One atom of each set of equivalent atoms:
Sr 0.0000 0.0000 0.0000
Ca 0.3333 0.6667 0.2500